# 1
Material: Tm2Si3Rh5
Method: DFT, PBE-GGA
State: optimized geometry

```
Tm2Si3Rh5
1.0
2.012 -12.022 0.000
2.012 12.022 0.000
0.000 0.000 6.536
Tm Si Rh
4 6 10
Direct
0.020 0.980 0.500
0.325 0.675 0.509
0.675 0.325 0.009
0.980 0.020 0.000
0.111 0.889 0.244
0.271 0.729 0.021
0.452 0.548 0.291
0.548 0.452 0.791
0.729 0.271 0.521
0.889 0.111 0.744
0.098 0.902 0.854
0.207 0.793 0.314
0.209 0.791 0.729
0.371 0.629 0.026
0.443 0.557 0.660
0.557 0.443 0.160
0.629 0.371 0.526
0.791 0.209 0.229
0.793 0.207 0.814
0.902 0.098 0.354
```

Output
Space group   Cmc2_1 (36)
Energy   -7.169 eV/atom

# 2
Material: Tb4Y3Tm2
Method: DFT, PBE-GGA
State: optimized geometry

```
Tb4Y3Tm2
1.0
8.093 -5.776 0.000
8.093 5.776 0.000
-0.631 0.000 6.089
Tb Y Tm
8 6 4
Direct
0.096 0.812 0.986
0.145 0.431 0.154
0.188 0.904 0.514
0.431 0.145 0.654
0.569 0.855 0.346
0.812 0.096 0.486
0.855 0.569 0.846
0.904 0.188 0.014
0.070 0.265 0.579
0.265 0.070 0.079
0.402 0.598 0.250
0.598 0.402 0.750
0.735 0.930 0.921
0.930 0.735 0.421
0.241 0.521 0.683
0.479 0.759 0.817
0.521 0.241 0.183
0.759 0.479 0.317
```

Output
Space group   C2/c (15)
Energy   -5.107 eV/atom
Formation energy   0.100 eV/atom

# 3
Material: AgOs2Pt
Method: DFT, PBE-GGA
State: optimized geometry

```
AgOs2Pt
1.0
2.751 0.000 0.000
0.000 4.686 0.000
0.000 0.000 4.839
Ag Os Pt
1 2 1
Direct
0.000 0.000 0.000
0.000 0.500 0.500
0.500 0.000 0.500
0.500 0.500 0.000
```

Output
Space group   Pmmm (47)
Energy   -7.174 eV/atom
Formation energy   0.663 eV/atom

# 4
Material: TaRe2Ag
Method: DFT, PBE-GGA
State: optimized geometry

```
TaRe2Ag
1.0
-1.622 2.239 4.510
1.622 -2.239 4.510
1.622 2.239 -4.510
Ta Re Ag
1 2 1
Direct
0.000 0.000 0.000
0.531 0.531 0.000
0.759 0.259 0.500
0.266 0.766 0.500
```

Output
ΔE to the lowest computed polymorph   122.3 meV/atom
Space group   Imm2 (44)
Energy   -9.544 eV/atom
Formation energy   0.356 eV/atom